[1]
Below is crystalline BaCd2SnPt at its relaxed geometry, with properties calculated at the PBE level.

Lattice parameters (Å, degrees): 4.7269 4.8765 11.8400 90.00 90.00 90.00
Space group Imm2 (No. 44)
Asymmetric unit:
Ba (0.0000, 0.0000, 0.0000) (multiplicity 2)
Cd (0.0000, 0.0000, 0.6060) (multiplicity 2)
Cd (0.0000, 0.5000, 0.2606) (multiplicity 2)
Sn (0.0000, 0.5000, 0.7628) (multiplicity 2)
Pt (0.0000, 0.0000, 0.3750) (multiplicity 2)

## Properties
**E above lowest polymorph**: 0.00 kJ/mol of atoms
**E_form**: -0.49 eV per atom

***

[2]
Below is crystalline Ag2TeCl at its relaxed geometry, with properties calculated at the PBE level.

Lattice parameters (Å, degrees): 3.8969 6.6002 8.5921 111.60 101.49 94.07
Space group P-1 (No. 2)
Asymmetric unit:
Ag (0.1177, 0.3598, 0.2641) (multiplicity 2)
Ag (0.1454, 0.9020, 0.2637) (multiplicity 2)
Te (0.4808, 0.2542, 0.0001) (multiplicity 2)
Cl (0.2574, 0.7581, 0.5168) (multiplicity 2)

## Properties
**E above lowest polymorph**: 0.90 kJ/mol of atoms

***

[3]
Below is crystalline TaTi2PI at its relaxed geometry, with properties calculated at the PBE level.

Lattice parameters (Å, degrees): 5.0914 5.0914 4.6556 90.00 90.00 90.00
Space group P4/mmm (No. 123)
Asymmetric unit:
Ta (0.0000, 0.0000, 0.0000) (multiplicity 1)
Ti (0.0000, 0.5000, 0.0000) (multiplicity 2)
P (0.0000, 0.0000, 0.5000) (multiplicity 1)
I (0.5000, 0.5000, 0.5000) (multiplicity 1)

## Properties
**Energy**: -0.45715 Ry/atom

***

[4]
Below is crystalline La4IrAu at its relaxed geometry, with properties calculated at the PBE level.

Lattice parameters (Å, degrees): 8.7030 8.7030 8.7030 90.00 90.00 90.00
Space group F-43m (No. 216)
Asymmetric unit:
La (0.1239, 0.1239, 0.3761) (multiplicity 16)
Ir (0.2500, 0.2500, 0.7500) (multiplicity 4)
Au (0.0000, 0.0000, 0.0000) (multiplicity 4)

## Properties
**E above lowest polymorph**: 100.52 kJ/mol of atoms
**E_form**: 0.46 eV per atom